First-principles (PBE) data for a relaxed Pr4Hg3Pd5 crystal, as listed in the Alexandria database.

Properties
Energy of formation from the pure elements in eV per atom: -0.478
Energy in eV/atom: -4.310

The structure in CIF format:
```
data_Pr4Hg3Pd5
_space_group_name_H-M_alt 'C 1 2/m 1'
_space_group_IT_number 12
_space_group_name_Hall '-C 2y'
_cell_length_a 13.317
_cell_length_b 4.972
_cell_length_c 11.143
_cell_angle_alpha 90.00
_cell_angle_beta 125.34
_cell_angle_gamma 90.00
loop_
_atom_site_label
_atom_site_fract_x
_atom_site_fract_y
_atom_site_fract_z
Pr1 0.028 0.000 0.273
Pr2 0.225 0.000 0.697
Hg1 0.000 0.500 0.000
Hg2 0.245 0.000 0.070
Pd1 0.000 0.000 0.000
Pd2 0.062 0.500 0.642
Pd3 0.192 0.500 0.499
```

***

First-principles (PBE) data for a relaxed LiThHg crystal, as listed in the Alexandria database.

Properties
Energy of formation from the pure elements in eV per atom: -0.161
Energy in eV/atom: -3.373
E above lowest polymorph in meV/atom: 0

The structure in CIF format:
```
data_LiThHg
_space_group_name_H-M_alt 'P -6 m 2'
_space_group_IT_number 187
_space_group_name_Hall 'P -6 2'
_cell_length_a 4.9671
_cell_length_b 4.9671
_cell_length_c 3.3718
_cell_angle_alpha 90.00
_cell_angle_beta 90.00
_cell_angle_gamma 120.00
loop_
_atom_site_label
_atom_site_fract_x
_atom_site_fract_y
_atom_site_fract_z
Li1 0.0000 0.0000 0.0000
Th1 0.6667 0.3333 0.5000
Hg1 0.3333 0.6667 0.0000
```

***

First-principles (PBE) data for a relaxed ScTa2Hg crystal, as listed in the Alexandria database.

Properties
Energy of formation from the pure elements in eV per atom: 0.225
Energy in eV/atom: -7.360

The structure in CIF format:
```
data_ScTa2Hg
_space_group_name_H-M_alt 'C 1 2/m 1'
_space_group_IT_number 12
_space_group_name_Hall '-C 2y'
_cell_length_a 5.690
_cell_length_b 10.054
_cell_length_c 2.940
_cell_angle_alpha 90.00
_cell_angle_beta 111.11
_cell_angle_gamma 90.00
loop_
_atom_site_label
_atom_site_fract_x
_atom_site_fract_y
_atom_site_fract_z
Sc1 0.000 0.000 0.000
Ta1 0.250 0.250 0.500
Hg1 0.000 0.500 0.000
```